VASP calculation (PBE+U) on a geometry-optimized V3F10 structure.

Cell and atoms, written as extended XYZ:
```
26
Lattice="-4.6650 2.0186 3.9065 2.4589 -4.4932 5.2581 4.6352 5.6173 2.6326" Properties=species:S:1:pos:R:3 pbc="T T T"
F -0.2623 -2.3236 5.6108
F 2.3298 -1.5827 5.7996
F -2.2436 1.9079 4.7329
F -2.0574 4.7018 4.9799
F 3.1675 5.2603 5.7877
F 1.5015 0.5969 7.2816
F -0.2900 0.1255 0.2429
F 1.1489 5.2132 3.9384
F 4.3303 0.8198 6.8698
F 1.8900 2.4389 9.3946
F 1.2802 -2.0705 7.8588
F -0.8656 0.3028 5.8720
F 1.6967 3.5314 7.2634
F 0.8816 1.1188 2.5971
F 0.4369 5.1345 6.1893
F 2.8136 3.5509 3.7247
F -0.7220 -0.8174 7.8808
F 3.0094 2.4942 5.7632
F 1.0177 -0.0430 4.6958
F 0.4515 2.7518 4.9143
V 0.6170 -0.8586 6.4406
V 5.9224 -0.2566 7.2048
V 1.8121 4.0013 5.3566
V -0.4987 1.1802 4.0548
V 2.9278 1.9625 7.7424
V 1.1718 1.3807 0.6858
```

Output
The final energy is -5.875 eV/atom.